First-principles (PBE) data for a geometry-optimized Th4Pd2C structure, as listed in Alexandria via LeMat-Bulk.

## Properties
total energy: -7.13 eV per atom
symmetry: I4/mmm (139)
N(E_F): 10.84 states/eV per cell
ΔE to the lowest computed polymorph: 341.2 meV per atom
calculated formation energy: -0.09 eV per atom
magnetic moment: 0.0 μB per formula unit

Unit cell a=8.5934 b=8.5934 c=8.5934 alpha=147.34 beta=147.34 gamma=46.86
With the nearest neighbours (Å) after each atom.
Element x y z (fractional)
Th (0.0000, 0.5000, 0.5000)  2 C 2.42
Th (0.1875, 0.1875, 0.0000)  1 Pd 2.65
Th (0.5000, 0.0000, 0.5000)  2 C 2.42
Th (0.8125, 0.8125, 0.0000)  1 Pd 2.65
Pd (0.3557, 0.3557, 0.0000)  1 C 2.28
Pd (0.6443, 0.6443, 0.0000)  1 C 2.28
C (0.5000, 0.5000, 0.0000)  2 Pd 2.28, 4 Th 2.42